Entry 1:
First-principles (PBE) data for a geometry-optimized K2Na2In structure, as listed in Alexandria via LeMat-Bulk.

Properties
Raw total energy ... -1.34 eV/atom
Theoretical density ... 1.7 g/cm³
Symmetry ... No. 127
ΔH_f (0 K) ... 0.1699 eV/atom

a = 9.8390 Å, b = 9.8390 Å, c = 4.7081 Å
α = 90.00°, β = 90.00°, γ = 90.00°
Sites, in units of the cell vectors:
K1 0.3499 0.8499 0.0000
K2 0.6501 0.1501 0.0000
K3 0.8499 0.6501 0.0000
K4 0.1501 0.3499 0.0000
Na1 0.8417 0.3417 0.5000
Na2 0.1583 0.6583 0.5000
Na3 0.3417 0.1583 0.5000
Na4 0.6583 0.8417 0.5000
In1 0.0000 0.0000 0.0000
In2 0.5000 0.5000 0.0000

Entry 2:
First-principles (PBE) data for a geometry-optimized KNa2In9 structure, as listed in Alexandria via LeMat-Bulk.

Properties
Raw total energy ... -2.44 eV/atom
Theoretical density ... 5.2 g/cm³
Symmetry ... No. 166
ΔH_f (0 K) ... -0.0706 eV/atom

a = 6.3559 Å, b = 6.3559 Å, c = 10.8438 Å
α = 72.96°, β = 72.96°, γ = 60.00°
Sites, in units of the cell vectors:
In1 0.5915 0.0775 0.7395
In2 0.5915 0.5915 0.7395
In3 0.9225 0.4085 0.2605
In4 0.4085 0.4085 0.2605
In5 0.6636 0.6636 0.0091
In6 0.5000 0.5000 0.5000
In7 0.4085 0.9225 0.2605
In8 0.3364 0.3364 0.9909
In9 0.0775 0.5915 0.7395
Na1 0.8591 0.8591 0.4226
Na2 0.1409 0.1409 0.5774
K1 0.0000 0.0000 0.0000

Entry 3:
First-principles (PBE) data for a geometry-optimized KNa3In structure, as listed in Alexandria via LeMat-Bulk.

Properties
Raw total energy ... -1.51 eV/atom
Theoretical density ... 1.6 g/cm³
Symmetry ... No. 221
ΔH_f (0 K) ... 0.0437 eV/atom

a = 6.0875 Å, b = 6.0875 Å, c = 6.0875 Å
α = 90.00°, β = 90.00°, γ = 90.00°
Sites, in units of the cell vectors:
K1 0.5000 0.5000 0.5000
Na1 0.0000 0.5000 0.0000
Na2 0.0000 0.0000 0.5000
Na3 0.5000 0.0000 0.0000
In1 0.0000 0.0000 0.0000

Entry 4:
First-principles (PBE) data for a geometry-optimized KNaIn3 structure, as listed in Alexandria via LeMat-Bulk.

Properties
Raw total energy ... -1.87 eV/atom
Theoretical density ... 3.6 g/cm³
Symmetry ... No. 221
ΔH_f (0 K) ... 0.2576 eV/atom

a = 5.7072 Å, b = 5.7072 Å, c = 5.7072 Å
α = 90.00°, β = 90.00°, γ = 90.00°
Sites, in units of the cell vectors:
In1 0.5000 0.0000 0.0000
In2 0.0000 0.0000 0.5000
In3 0.0000 0.5000 0.0000
Na1 0.0000 0.0000 0.0000
K1 0.5000 0.5000 0.5000

Entry 5:
First-principles (PBE) data for a geometry-optimized KNa6In6 structure, as listed in Alexandria via LeMat-Bulk.

Properties
Raw total energy ... -2.06 eV/atom
Theoretical density ... 3.6 g/cm³
Symmetry ... No. 71
ΔH_f (0 K) ... -0.1019 eV/atom

a = 6.4660 Å, b = 8.4744 Å, c = 8.4744 Å
α = 83.11°, β = 67.57°, γ = 67.57°
Sites, in units of the cell vectors:
Na1 0.3463 0.6537 0.6537
Na2 0.6915 0.8085 0.8085
Na3 0.0000 0.3369 0.6631
Na4 0.6537 0.3463 0.3463
Na5 0.3085 0.1915 0.1915
Na6 0.0000 0.6631 0.3369
In1 0.5000 0.7649 0.2351
In2 0.0000 0.5000 0.0000
In3 0.5000 0.0000 0.5000
In4 0.0000 0.0000 0.5000
In5 0.5000 0.2351 0.7649
In6 0.5000 0.5000 0.0000
K1 0.0000 0.0000 0.0000

Entry 6:
First-principles (PBE) data for a geometry-optimized K5Na6In structure, as listed in Alexandria via LeMat-Bulk.

Properties
Raw total energy ... -1.30 eV/atom
Theoretical density ... 1.3 g/cm³
Symmetry ... No. 12
ΔH_f (0 K) ... 0.0422 eV/atom

a = 12.5866 Å, b = 7.2766 Å, c = 7.3175 Å
α = 60.18°, β = 84.22°, γ = 78.31°
Sites, in units of the cell vectors:
K1 0.5000 0.8292 0.3417
K2 0.0000 0.3343 0.3313
K3 0.0000 0.6657 0.6687
K4 0.5000 0.5000 0.0000
K5 0.5000 0.1708 0.6583
Na1 0.7738 0.7903 0.0000
Na2 0.2238 0.6415 0.2840
Na3 0.2262 0.2097 0.0000
Na4 0.7762 0.0745 0.2840
Na5 0.2238 0.9255 0.7160
Na6 0.7762 0.3585 0.7160
In1 0.0000 0.0000 0.0000

Entry 7:
First-principles (PBE) data for a geometry-optimized KNaIn4 structure, as listed in Alexandria via LeMat-Bulk.

Properties
Raw total energy ... -2.33 eV/atom
Theoretical density ... 4.8 g/cm³
Symmetry ... No. 216
ΔH_f (0 K) ... -0.1000 eV/atom

a = 6.3631 Å, b = 6.3631 Å, c = 6.3631 Å
α = 60.00°, β = 60.00°, γ = 60.00°
Sites, in units of the cell vectors:
Na1 0.0000 0.0000 0.0000
In1 0.6252 0.6252 0.6252
In2 0.6252 0.6252 0.1245
In3 0.6252 0.1245 0.6252
In4 0.1245 0.6252 0.6252
K1 0.2500 0.2500 0.2500

Entry 8:
First-principles (PBE) data for a geometry-optimized K3Na3In2 structure, as listed in Alexandria via LeMat-Bulk.

Properties
Raw total energy ... -1.62 eV/atom
Theoretical density ... 1.9 g/cm³
Symmetry ... No. 2
ΔH_f (0 K) ... -0.0247 eV/atom

a = 5.1071 Å, b = 6.8962 Å, c = 10.5603 Å
α = 85.51°, β = 75.93°, γ = 89.87°
Sites, in units of the cell vectors:
K1 0.8350 0.4096 0.3302
K2 0.0000 0.0000 0.0000
K3 0.1650 0.5904 0.6698
In1 0.7676 0.9041 0.4659
In2 0.2324 0.0959 0.5341
Na1 0.6350 0.1325 0.7287
Na2 0.5000 0.5000 0.0000
Na3 0.3650 0.8675 0.2713

Entry 9:
First-principles (PBE) data for a geometry-optimized KNaIn4 structure, as listed in Alexandria via LeMat-Bulk.

Properties
Raw total energy ... -2.36 eV/atom
Theoretical density ... 4.6 g/cm³
Symmetry ... No. 191
ΔH_f (0 K) ... -0.1318 eV/atom

a = 5.0947 Å, b = 5.0947 Å, c = 8.3242 Å
α = 90.00°, β = 90.00°, γ = 120.00°
Sites, in units of the cell vectors:
In1 0.6667 0.3333 0.2023
In2 0.3333 0.6667 0.2023
In3 0.6667 0.3333 0.7977
In4 0.3333 0.6667 0.7977
Na1 0.0000 0.0000 0.0000
K1 0.0000 0.0000 0.5000

Entry 10:
First-principles (PBE) data for a geometry-optimized K4Na5In structure, as listed in Alexandria via LeMat-Bulk.

Properties
Raw total energy ... -1.37 eV/atom
Theoretical density ... 1.3 g/cm³
Symmetry ... No. 107
ΔH_f (0 K) ... 0.0016 eV/atom

a = 6.5895 Å, b = 9.2081 Å, c = 9.2081 Å
α = 82.64°, β = 69.03°, γ = 69.03°
Sites, in units of the cell vectors:
K1 0.8541 0.7064 0.7063
K2 0.2668 0.2936 0.2937
K3 0.5604 0.2937 0.7064
K4 0.5605 0.7063 0.2936
Na1 0.8599 0.3401 0.9996
Na2 0.1996 0.6599 0.0004
Na3 0.3191 0.0000 0.0000
Na4 0.8596 0.0004 0.3401
Na5 0.2000 0.9996 0.6599
In1 0.8096 0.0000 0.0000

Entry 11:
First-principles (PBE) data for a geometry-optimized K2NaIn structure, as listed in Alexandria via LeMat-Bulk.

Properties
Raw total energy ... -1.60 eV/atom
Theoretical density ... 1.9 g/cm³
Symmetry ... No. 8
ΔH_f (0 K) ... -0.0355 eV/atom

a = 5.1595 Å, b = 7.2944 Å, c = 11.1489 Å
α = 75.80°, β = 76.62°, γ = 69.29°
Sites, in units of the cell vectors:
K1 0.8413 0.7978 0.5196
K2 0.2377 0.2389 0.2858
K3 0.7982 0.4338 0.9698
K4 0.5114 0.3070 0.6703
Na1 0.5254 0.6704 0.2787
Na2 0.1439 0.8794 0.8328
In1 0.9798 0.8986 0.1417
In2 0.5044 0.9906 0.0005

Entry 12:
First-principles (PBE) data for a geometry-optimized K6Na12In structure, as listed in Alexandria via LeMat-Bulk.

Properties
Raw total energy ... -1.30 eV/atom
Theoretical density ... 1.2 g/cm³
Symmetry ... No. 148
ΔH_f (0 K) ... 0.0246 eV/atom

a = 9.6509 Å, b = 9.6509 Å, c = 9.6509 Å
α = 95.97°, β = 95.97°, γ = 95.97°
Sites, in units of the cell vectors:
In1 0.0000 0.0000 0.0000
Na1 0.5101 0.4553 0.2215
Na2 0.6582 0.8653 0.9377
Na3 0.9377 0.6582 0.8653
Na4 0.7785 0.4899 0.5447
Na5 0.1347 0.0623 0.3418
Na6 0.2215 0.5101 0.4553
Na7 0.8653 0.9377 0.6582
Na8 0.3418 0.1347 0.0623
Na9 0.5447 0.7785 0.4899
Na10 0.4553 0.2215 0.5101
Na11 0.4899 0.5447 0.7785
Na12 0.0623 0.3418 0.1347
K1 0.1192 0.2931 0.7495
K2 0.7069 0.2505 0.8808
K3 0.2505 0.8808 0.7069
K4 0.7495 0.1192 0.2931
K5 0.8808 0.7069 0.2505
K6 0.2931 0.7495 0.1192

Entry 13:
First-principles (PBE) data for a geometry-optimized KNa3In9 structure, as listed in Alexandria via LeMat-Bulk.

Properties
Raw total energy ... -2.43 eV/atom
Theoretical density ... 5.0 g/cm³
Symmetry ... No. 64
ΔH_f (0 K) ... -0.1440 eV/atom

a = 9.8048 Å, b = 9.8048 Å, c = 17.6898 Å
α = 90.00°, β = 90.00°, γ = 117.92°
Sites, in units of the cell vectors:
In1 0.3409 0.1775 0.4627
In2 0.7421 0.2579 0.2540
In3 0.7914 0.9053 0.3686
In4 0.8368 0.1632 0.4769
In5 0.7579 0.2421 0.7540
In6 0.4053 0.2914 0.8686
In7 0.1036 0.8964 0.3607
In8 0.9139 0.5861 0.7500
In9 0.3265 0.6735 0.5864
In10 0.1632 0.8368 0.5231
In11 0.0947 0.2086 0.3686
In12 0.6775 0.8409 0.9627
In13 0.8409 0.6775 0.0373
In14 0.9053 0.7914 0.6314
In15 0.0861 0.4139 0.2500
In16 0.1735 0.8265 0.0864
In17 0.8225 0.6591 0.4627
In18 0.6632 0.3368 0.9769
In19 0.8265 0.1735 0.9136
In20 0.1775 0.3409 0.5373
In21 0.1591 0.3225 0.9627
In22 0.5947 0.7086 0.1314
In23 0.3225 0.1591 0.0373
In24 0.3964 0.6036 0.8607
In25 0.2086 0.0947 0.6314
In26 0.6735 0.3265 0.4136
In27 0.2421 0.7579 0.2460
In28 0.5861 0.9139 0.2500
In29 0.6036 0.3964 0.1393
In30 0.8964 0.1036 0.6393
In31 0.4139 0.0861 0.7500
In32 0.2914 0.4053 0.1314
In33 0.6591 0.8225 0.5373
In34 0.2579 0.7421 0.7460
In35 0.7086 0.5947 0.8686
In36 0.3368 0.6632 0.0231
Na1 0.9597 0.4241 0.0890
Na2 0.0403 0.5759 0.9110
Na3 0.1326 0.3674 0.7500
Na4 0.8674 0.6326 0.2500
Na5 0.5403 0.0759 0.5890
Na6 0.3674 0.1326 0.2500
Na7 0.5759 0.0403 0.0890
Na8 0.4241 0.9597 0.9110
Na9 0.4597 0.9241 0.4110
Na10 0.9241 0.4597 0.5890
Na11 0.6326 0.8674 0.7500
Na12 0.0759 0.5403 0.4110
K1 0.5348 0.4652 0.6596
K2 0.4652 0.5348 0.3404
K3 0.9652 0.0348 0.1596
K4 0.0348 0.9652 0.8404

Entry 14:
First-principles (PBE) data for a geometry-optimized K2NaIn structure, as listed in Alexandria via LeMat-Bulk.

Properties
Raw total energy ... -1.52 eV/atom
Theoretical density ... 2.0 g/cm³
Symmetry ... No. 123
ΔH_f (0 K) ... 0.0424 eV/atom

a = 4.4745 Å, b = 4.4745 Å, c = 8.8338 Å
α = 90.00°, β = 90.00°, γ = 90.00°
Sites, in units of the cell vectors:
In1 0.5000 0.5000 0.0000
Na1 0.5000 0.5000 0.5000
K1 0.0000 0.0000 0.7757
K2 0.0000 0.0000 0.2243

Entry 15:
First-principles (PBE) data for a geometry-optimized KNa2InNi structure, as listed in Alexandria via LeMat-Bulk.

Properties
Raw total energy ... -2.35 eV/atom
Theoretical density ... 2.8 g/cm³
Symmetry ... No. 123
ΔH_f (0 K) ... 0.1049 eV/atom

a = 5.5788 Å, b = 5.5788 Å, c = 4.9946 Å
α = 90.00°, β = 90.00°, γ = 90.00°
Sites, in units of the cell vectors:
In1 0.0000 0.0000 0.5000
K1 0.5000 0.5000 0.5000
Na1 0.5000 0.0000 0.0000
Na2 0.0000 0.5000 0.0000
Ni1 0.0000 0.0000 0.0000

Entry 16:
First-principles (PBE) data for a geometry-optimized K3Na2InO4 structure, as listed in Alexandria via LeMat-Bulk.

Properties
Raw total energy ... -4.21 eV/atom
Theoretical density ... 3.1 g/cm³
Raw formation energy ... -1.36 eV per atom
Symmetry ... No. 14

a = 9.7990 Å, b = 7.3495 Å, c = 12.5563 Å
α = 55.07°, β = 90.00°, γ = 90.00°
Sites, in units of the cell vectors:
O1 0.2134 0.5701 0.4180
O2 0.4738 0.3392 0.3171
O3 0.0815 0.0908 0.2105
O4 0.2064 0.8961 0.5931
O5 0.5815 0.9092 0.2895
O6 0.7936 0.1039 0.4069
O7 0.7064 0.1039 0.9069
O8 0.2866 0.5701 0.9180
O9 0.9738 0.6609 0.1829
O10 0.7134 0.4299 0.0820
O11 0.9185 0.9092 0.7895
O12 0.0262 0.3392 0.8171
O13 0.4185 0.0908 0.7105
O14 0.7866 0.4299 0.5820
O15 0.2936 0.8961 0.0931
O16 0.5262 0.6609 0.6829
Na1 0.8353 0.7490 0.0067
Na2 0.0687 0.6826 0.7760
Na3 0.5687 0.3174 0.7240
Na4 0.9313 0.3174 0.2240
Na5 0.6647 0.7490 0.5067
Na6 0.4313 0.6826 0.2760
Na7 0.1647 0.2510 0.9933
Na8 0.3353 0.2510 0.4933
K1 0.5080 0.7826 0.9809
K2 0.9920 0.7826 0.4809
K3 0.4920 0.2174 0.0191
K4 0.0080 0.2174 0.5191
K5 0.7454 0.5592 0.3377
K6 0.8385 0.0714 0.1009
K7 0.3385 0.9286 0.3991
K8 0.1615 0.9286 0.8991
K9 0.6615 0.0714 0.6009
K10 0.2454 0.4408 0.1623
K11 0.2546 0.4408 0.6623
K12 0.7546 0.5592 0.8377
In1 0.3678 0.7915 0.7314
In2 0.1322 0.7915 0.2314
In3 0.6322 0.2085 0.2686
In4 0.8678 0.2085 0.7686

Entry 17:
First-principles (PBE) data for a geometry-optimized K2Na3InO4 structure, as listed in Alexandria via LeMat-Bulk.

Properties
Raw total energy ... -4.25 eV/atom
Theoretical density ... 3.1 g/cm³
Raw formation energy ... -1.38 eV per atom
Symmetry ... No. 58

a = 7.6303 Å, b = 9.3878 Å, c = 9.6647 Å
α = 90.00°, β = 90.00°, γ = 90.00°
Sites, in units of the cell vectors:
O1 0.5000 0.9399 0.7220
O2 0.2326 0.6999 0.4830
O3 0.7326 0.1999 0.0170
O4 0.2674 0.8001 0.9830
O5 0.2326 0.3001 0.5170
O6 0.0000 0.4399 0.7780
O7 0.5000 0.5683 0.7759
O8 0.0000 0.5601 0.2220
O9 0.7674 0.6999 0.4830
O10 0.2674 0.1999 0.0170
O11 0.5000 0.0601 0.2780
O12 0.5000 0.4317 0.2241
O13 0.7674 0.3001 0.5170
O14 0.0000 0.9317 0.2759
O15 0.7326 0.8001 0.9830
O16 0.0000 0.0683 0.7241
K1 0.5000 0.2697 0.7642
K2 0.5000 0.7303 0.2358
K3 0.7438 0.0000 0.5000
K4 0.2438 0.5000 0.0000
K5 0.0000 0.7697 0.7358
K6 0.0000 0.2303 0.2642
K7 0.2562 0.0000 0.5000
K8 0.7562 0.5000 0.0000
Na1 0.7469 0.0175 0.8503
Na2 0.5000 0.2640 0.4248
Na3 0.2531 0.9825 0.1497
Na4 0.5000 0.7360 0.5752
Na5 0.0000 0.2360 0.9248
Na6 0.0000 0.7640 0.0752
Na7 0.7469 0.9825 0.1497
Na8 0.7531 0.4825 0.3503
Na9 0.2531 0.0175 0.8503
Na10 0.7531 0.5175 0.6497
Na11 0.2469 0.4825 0.3503
Na12 0.2469 0.5175 0.6497
In1 0.0000 0.2710 0.6286
In2 0.5000 0.2290 0.1286
In3 0.5000 0.7710 0.8714
In4 0.0000 0.7290 0.3714

Entry 18:
First-principles (PBE) data for a geometry-optimized K2NaInP2 structure, as listed in Alexandria via LeMat-Bulk.

Properties
Raw total energy ... -3.27 eV/atom
Theoretical density ... 2.8 g/cm³
Symmetry ... No. 72
ΔH_f (0 K) ... -0.4238 eV/atom

a = 8.8858 Å, b = 8.8858 Å, c = 8.8858 Å
α = 136.02°, β = 135.85°, γ = 64.08°
Sites, in units of the cell vectors:
In1 0.7500 0.5000 0.2500
In2 0.2500 0.5000 0.7500
P1 0.9005 0.6161 0.7155
P2 0.4005 0.1850 0.7845
P3 0.5995 0.8150 0.2155
P4 0.0995 0.3839 0.2845
Na1 0.2500 0.0000 0.2500
Na2 0.7500 0.0000 0.7500
K1 0.6772 0.4166 0.7395
K2 0.8228 0.0623 0.2395
K3 0.1772 0.9377 0.7605
K4 0.3229 0.5834 0.2605

Entry 19:
First-principles (PBE) data for a geometry-optimized KNa2InPb structure, as listed in Alexandria via LeMat-Bulk.

Properties
Raw total energy ... -2.02 eV/atom
Theoretical density ... 3.2 g/cm³
Symmetry ... No. 123
ΔH_f (0 K) ... 0.0206 eV/atom

a = 5.9522 Å, b = 5.9522 Å, c = 5.8988 Å
α = 90.00°, β = 90.00°, γ = 90.00°
Sites, in units of the cell vectors:
Pb1 0.0000 0.0000 0.5000
Na1 0.5000 0.0000 0.0000
Na2 0.0000 0.5000 0.0000
K1 0.5000 0.5000 0.5000
In1 0.0000 0.0000 0.0000